AgSn2Sb2 | Alexandria via LeMat-Bulk | PBE | relaxed; total magnetization = 0.00 Bohr magnetons per cell; final energy = -3.766 eV/atom; DOS at the Fermi energy = 0.5178 states/eV/atom
1.0
3.8732 -2.1886 0.0000
3.8732 2.1886 0.0000
-2.4335 0.0000 8.4726
Ag Sn Sb
1 2 2
Cartesian
0.0000 0.0000 0.0000
0.0620 0.0000 3.1415
5.2510 0.0000 5.3311
2.6153 0.0000 1.5765
2.6976 0.0000 6.8961

Rb2NaAu | Alexandria via LeMat-Bulk | PBE | relaxed; total magnetization = 0.00 Bohr magnetons per cell; final energy = -1.724 eV/atom; DOS at the Fermi energy = 0.5000 states/eV/atom; ΔH_f (0 K) = -0.09 eV per atom
1.0
2.4045 1.3882 10.7360
-2.4045 1.3882 10.7360
0.0000 -2.7764 10.7360
Rb Na Au
2 1 1
Cartesian
0.0000 0.0000 0.0000
0.0000 0.0000 6.6181
0.0000 0.0000 24.7656
0.0000 0.0000 19.4227

KMo2Pt | Alexandria via LeMat-Bulk | PBE | relaxed; total magnetization = 0.00 Bohr magnetons per cell; final energy = -6.481 eV/atom; DOS at the Fermi energy = 1.3270 states/eV/atom; ΔH_f (0 K) = 0.72 eV per atom
1.0
1.8714 -1.9862 0.0000
1.8714 1.9862 0.0000
0.0000 0.0000 10.4443
K Mo Pt
1 2 1
Cartesian
0.0000 0.0000 0.0000
1.8714 0.0000 3.1541
1.8714 0.0000 7.2902
0.0000 0.0000 5.2221

AsAuS2 | Alexandria via LeMat-Bulk | PBE | relaxed; total magnetization = 0.00 Bohr magnetons per cell; final energy = -4.058 eV/atom; DOS at the Fermi energy = 0.0000 states/eV/atom
1.0
1.9090 1.1022 7.3160
-1.9090 1.1022 7.3160
0.0000 -2.2044 7.3160
As Au S
1 1 2
Cartesian
0.0000 0.0000 0.0000
0.0000 0.0000 10.9740
0.0000 0.0000 8.6773
0.0000 0.0000 13.2707

Ga2Cu3 | Alexandria via LeMat-Bulk | PBE | relaxed; total magnetization = 0.00 Bohr magnetons per cell; final energy = -3.732 eV/atom; DOS at the Fermi energy = 0.3033 states/eV/atom; ΔH_f (0 K) = -0.06 eV per atom
1.0
4.1552 -1.8542 0.0000
4.1552 1.8542 0.0000
-4.0713 0.0000 4.3558
Ga Cu
2 3
Cartesian
0.4972 0.0000 1.2675
3.7418 0.0000 3.0883
-2.0357 0.0000 2.1779
2.9191 0.0000 0.4546
1.3200 0.0000 3.9012

K4Ce3Se8 | Alexandria via LeMat-Bulk | PBE | relaxed; total magnetization = 0.00 Bohr magnetons per cell; final energy = -4.826 eV/atom
1.0
4.3604 2.5175 8.1568
-4.3604 2.5175 8.1568
0.0000 -5.0349 8.1568
K Ce Se
4 3 8
Cartesian
0.0000 0.0000 0.0000
0.0000 0.0000 3.4965
0.0000 0.0000 12.2352
0.0000 0.0000 20.9738
-2.1802 -1.2587 8.1568
-2.1802 1.2587 16.3135
0.0000 2.5175 8.1568
0.0000 -2.2632 9.7338
-1.9600 1.1316 9.7338
0.0000 0.0000 6.6756
-1.9600 -1.1316 14.7365
1.9600 1.1316 9.7338
0.0000 0.0000 17.7947
1.9600 -1.1316 14.7365
0.0000 2.2632 14.7365

KSbIr2 | Alexandria via LeMat-Bulk | PBE | relaxed; total magnetization = 0.00 Bohr magnetons per cell; final energy = -5.143 eV/atom; DOS at the Fermi energy = 1.0082 states/eV/atom
1.0
2.9442 0.0000 0.0000
0.0000 4.5534 0.0000
-1.2312 0.0000 6.7438
K Sb Ir
1 1 2
Cartesian
0.0000 0.0000 0.0000
0.8565 0.0000 3.3719
0.0994 2.2767 4.5184
1.6136 2.2767 2.2254

CrCo4Ni15 | Alexandria via LeMat-Bulk | PBE | relaxed; total magnetization = 16.69 Bohr magnetons per cell; final energy = -6.221 eV/atom; DOS at the Fermi energy = 1.6038 states/eV/atom; ΔH_f (0 K) = 0.02 eV per atom
1.0
3.5253 0.0000 0.0000
0.0000 3.5253 0.0000
0.0000 0.0000 17.6091
Cr Co Ni
1 4 15
Cartesian
0.0000 0.0000 0.0000
0.0000 0.0000 3.5537
0.0000 0.0000 7.0538
0.0000 0.0000 10.5552
0.0000 0.0000 14.0554
0.0000 1.7627 1.7719
0.0000 1.7627 5.2919
0.0000 1.7627 8.8045
0.0000 1.7627 12.3172
0.0000 1.7627 15.8371
1.7627 0.0000 1.7719
1.7627 0.0000 5.2919
1.7627 0.0000 8.8045
1.7627 0.0000 12.3172
1.7627 0.0000 15.8371
1.7627 1.7627 0.0000
1.7627 1.7627 3.5352
1.7627 1.7627 7.0485
1.7627 1.7627 10.5606
1.7627 1.7627 14.0739

What did the first record say?
AgSn2Sb2 | Alexandria via LeMat-Bulk | PBE | relaxed; total magnetization = 0.00 Bohr magnetons per cell; final energy = -3.766 eV/atom; DOS at the Fermi energy = 0.5178 states/eV/atom
1.0
3.8732 -2.1886 0.0000
3.8732 2.1886 0.0000
-2.4335 0.0000 8.4726
Ag Sn Sb
1 2 2
Cartesian
0.0000 0.0000 0.0000
0.0620 0.0000 3.1415
5.2510 0.0000 5.3311
2.6153 0.0000 1.5765
2.6976 0.0000 6.8961

Question: Among the records above, which one has the highest final energy?
Answer: Rb2NaAu

Please write out number 2 again, unchanged.
Rb2NaAu | Alexandria via LeMat-Bulk | PBE | relaxed; total magnetization = 0.00 Bohr magnetons per cell; final energy = -1.724 eV/atom; DOS at the Fermi energy = 0.5000 states/eV/atom; ΔH_f (0 K) = -0.09 eV per atom
1.0
2.4045 1.3882 10.7360
-2.4045 1.3882 10.7360
0.0000 -2.7764 10.7360
Rb Na Au
2 1 1
Cartesian
0.0000 0.0000 0.0000
0.0000 0.0000 6.6181
0.0000 0.0000 24.7656
0.0000 0.0000 19.4227

Repeat the fifth record exactly.
Ga2Cu3 | Alexandria via LeMat-Bulk | PBE | relaxed; total magnetization = 0.00 Bohr magnetons per cell; final energy = -3.732 eV/atom; DOS at the Fermi energy = 0.3033 states/eV/atom; ΔH_f (0 K) = -0.06 eV per atom
1.0
4.1552 -1.8542 0.0000
4.1552 1.8542 0.0000
-4.0713 0.0000 4.3558
Ga Cu
2 3
Cartesian
0.4972 0.0000 1.2675
3.7418 0.0000 3.0883
-2.0357 0.0000 2.1779
2.9191 0.0000 0.4546
1.3200 0.0000 3.9012